Density functional theory data (PBE-GGA) for an optimized crystal structure of LiCaTi2Ga.

Calculated values
calculated formation energy: 0.52 eV/atom
M_tot: 1.68 μB per cell

Geometry as extended XYZ:
```
5
Lattice="4.630 0.000 0.000 0.000 4.630 0.000 0.000 0.000 4.588" Properties=species:S:1:pos:R:3 pbc="T T T"
Li 0.000 0.000 0.000
Ca 2.315 2.315 2.294
Ti 0.000 2.315 0.000
Ti 2.315 0.000 0.000
Ga 0.000 0.000 2.294
```


Density functional theory data (PBE-GGA) for an optimized crystal structure of NaSrSc3.

Calculated values
calculated formation energy: 1.22 eV/atom
M_tot: 0.00 μB per cell

Geometry as extended XYZ:
```
5
Lattice="5.493 0.000 0.000 0.000 5.493 0.000 0.000 0.000 5.493" Properties=species:S:1:pos:R:3 pbc="T T T"
Na 0.000 0.000 0.000
Sr 2.747 2.747 2.747
Sc 0.000 2.747 2.747
Sc 2.747 0.000 2.747
Sc 2.747 2.747 0.000
```